A geometry-optimized Zr2Os2Pb structure. Source: the Alexandria database, functional PBE.

- Crystal system: tetragonal
- Total magnetic moment: 0.000 μB/atom
- Calculated formation energy: 84 meV per atom

a = 4.514 Å, b = 4.514 Å, c = 10.903 Å
α = 90.00°, β = 90.00°, γ = 90.00°
Atoms (fractional coordinates):
Zr1 0.000 0.500 0.250
Zr2 0.000 0.500 0.750
Zr3 0.500 0.000 0.250
Zr4 0.500 0.000 0.750
Os1 0.000 0.000 0.113
Os2 0.000 0.000 0.887
Os3 0.500 0.500 0.387
Os4 0.500 0.500 0.613
Pb1 0.000 0.000 0.500
Pb2 0.500 0.500 0.000



A geometry-optimized ZrOsPb2 structure. Source: the Alexandria database, functional PBE.

- Crystal system: tetragonal
- Total magnetic moment: 0.000 μB/atom
- Calculated formation energy: 610 meV per atom

a = 4.398 Å, b = 4.398 Å, c = 9.076 Å
α = 90.00°, β = 90.00°, γ = 90.00°
Atoms (fractional coordinates):
Zr1 0.000 0.000 0.000
Zr2 0.500 0.500 0.500
Os1 0.000 0.000 0.500
Os2 0.500 0.500 0.000
Pb1 0.000 0.500 0.250
Pb2 0.000 0.500 0.750
Pb3 0.500 0.000 0.250
Pb4 0.500 0.000 0.750



A geometry-optimized ZrOsPb2 structure. Source: the Alexandria database, functional PBE.

- Crystal system: tetragonal
- Total magnetic moment: 0.000 μB/atom
- Calculated formation energy: 557 meV per atom

a = 4.956 Å, b = 4.956 Å, c = 3.464 Å
α = 90.00°, β = 90.00°, γ = 90.00°
Atoms (fractional coordinates):
Zr1 0.000 0.000 0.000
Os1 0.500 0.500 0.000
Pb1 0.000 0.500 0.500
Pb2 0.500 0.000 0.500



A geometry-optimized ZrOsPb2 structure. Source: the Alexandria database, functional PBE.

- Crystal system: orthorhombic
- Total magnetic moment: 0.000 μB/atom
- Calculated formation energy: 483 meV per atom

a = 4.149 Å, b = 4.393 Å, c = 4.745 Å
α = 90.00°, β = 90.00°, γ = 90.00°
Atoms (fractional coordinates):
Zr1 0.000 0.000 0.000
Os1 0.500 0.000 0.500
Pb1 0.000 0.500 0.500
Pb2 0.500 0.500 0.000



no.,mass density (g/cm³)
1,11.51
2,13.17
3,13.58
4,13.36